Record 1
La2TaMo PBE relaxed; crystal system = tetragonal; energy of formation from the pure elements = 78.2 kJ per mole of atoms; energy above the most stable polymorph in this dataset = 578 meV per atom; D(E_F) = 1.53 states/eV/atom; magnetization = 1.75 Bohr magnetons per cell
1.0
5.385 0.000 0.000
0.000 5.385 0.000
0.000 0.000 3.410
La Ta Mo
2 1 1
direct
0.000 0.500 0.000
0.500 0.000 0.000
0.000 0.000 0.500
0.500 0.500 0.500


Record 2
NaCu2AsH PBE relaxed; crystal system = orthorhombic; electronic total energy = -3.651 eV per atom; D(E_F) = 0.18 states/eV/atom; magnetization = 0.00 Bohr magnetons per cell
1.0
1.999 -5.272 0.000
1.999 5.272 0.000
0.000 0.000 6.798
Na Cu As H
2 4 2 2
direct
0.053 0.947 0.750
0.947 0.053 0.250
0.343 0.657 0.560
0.343 0.657 0.940
0.657 0.343 0.060
0.657 0.343 0.440
0.226 0.774 0.250
0.774 0.226 0.750
0.500 0.500 0.000
0.500 0.500 0.500